Record 1
A plane-wave DFT calculation with GGA-PBE was carried out for a relaxed Ca2MgMo crystal.

Computed properties:
Total magnetization   2.5 μB/f.u.
Volume   27.483 Å³ per atom
Energy relative to the elements   0.89 eV/atom

Lattice parameters (Å, degrees): 8.341 8.341 6.320 90.00 90.00 90.00
Space group I-42d (No. 122)
One atom of each set of equivalent atoms:
Ca 0.235 0.250 0.125
Mg 0.000 0.000 0.500
Mo 0.000 0.000 0.000

***

Record 2
A plane-wave DFT calculation with GGA-PBE was carried out for a relaxed CaMg2Mo crystal.

Computed properties:
Total magnetization   0.8 μB/f.u.
Volume   22.026 Å³ per atom
Energy relative to the elements   0.41 eV/atom
Energy relative to the lowest polymorph listed for this composition   49 meV/atom

Lattice parameters (Å, degrees): 3.092 4.117 6.920 90.00 90.04 90.00
Space group P2/m (No. 10)
One atom of each set of equivalent atoms:
Ca 0.000 0.000 0.000
Mg 0.498 0.500 0.704
Mo 0.000 0.000 0.500

***

Record 3
A plane-wave DFT calculation with GGA-PBE was carried out for a relaxed CaMgMo2 crystal.

Computed properties:
Total magnetization   0.0 μB/f.u.
Volume   19.012 Å³ per atom
Energy relative to the elements   0.67 eV/atom

Lattice parameters (Å, degrees): 5.643 9.823 2.744 90.00 90.00 90.00
Space group Cmmm (No. 65)
One atom of each set of equivalent atoms:
Ca 0.000 0.000 0.000
Mg 0.000 0.500 0.000
Mo 0.250 0.250 0.500

***

Record 4
A plane-wave DFT calculation with GGA-PBE was carried out for a relaxed Ca2MgMo crystal.

Computed properties:
Total magnetization   2.3 μB/f.u.
Volume   26.758 Å³ per atom
Energy relative to the elements   0.57 eV/atom

Lattice parameters (Å, degrees): 3.663 5.352 10.918 90.00 90.00 90.00
Space group Imm2 (No. 44)
One atom of each set of equivalent atoms:
Ca 0.000 0.000 0.000
Ca 0.000 0.500 0.212
Mg 0.000 0.500 0.772
Mo 0.000 0.000 0.468

***

Record 5
A plane-wave DFT calculation with GGA-PBE was carried out for a relaxed CaMg2Mo crystal.

Computed properties:
Total magnetization   0.0 μB/f.u.
Volume   21.715 Å³ per atom
Energy relative to the elements   0.50 eV/atom
Energy relative to the lowest polymorph listed for this composition   138 meV/atom

Lattice parameters (Å, degrees): 2.938 4.946 6.083 90.00 100.70 90.00
Space group Pm (No. 6)
One atom of each set of equivalent atoms:
Ca 0.000 0.000 0.000
Mg 0.495 0.000 0.533
Mg 0.696 0.500 0.290
Mo 0.296 0.500 0.743

***

Record 6
A plane-wave DFT calculation with GGA-PBE was carried out for a relaxed CaMgMo crystal.

Computed properties:
Total magnetization   0.0 μB/f.u.
Volume   21.459 Å³ per atom
Energy relative to the elements   0.52 eV/atom
Energy relative to the lowest polymorph listed for this composition   0 meV/atom

Lattice parameters (Å, degrees): 2.920 2.920 15.101 90.00 90.00 90.00
Space group I4mm (No. 107)
One atom of each set of equivalent atoms:
Ca 0.000 0.000 0.000
Mg 0.000 0.000 0.306
Mo 0.000 0.000 0.663

***

Record 7
A plane-wave DFT calculation with GGA-PBE was carried out for a relaxed CaMg2Mo crystal.

Computed properties:
Total magnetization   0.5 μB/f.u.
Volume   21.760 Å³ per atom
Energy relative to the elements   0.56 eV/atom
Energy relative to the lowest polymorph listed for this composition   200 meV/atom

Lattice parameters (Å, degrees): 4.378 4.378 9.081 90.00 90.00 90.00
Space group I-4m2 (No. 119)
One atom of each set of equivalent atoms:
Ca 0.000 0.000 0.000
Mg 0.000 0.000 0.500
Mg 0.000 0.500 0.750
Mo 0.000 0.500 0.250

***

Record 8
A plane-wave DFT calculation with GGA-PBE was carried out for a relaxed Ca2MgMo crystal.

Computed properties:
Total magnetization   0.0 μB/f.u.
Volume   24.925 Å³ per atom
Energy relative to the elements   0.61 eV/atom

Lattice parameters (Å, degrees): 3.109 4.888 6.562 90.00 90.08 90.00
Space group P2/m (No. 10)
One atom of each set of equivalent atoms:
Ca 0.000 0.000 0.232
Mg 0.500 0.500 0.500
Mo 0.500 0.500 0.000

***

Which value of total magnetization does entry 1 give?
2.5 μB/f.u.

***

Number 6 is which compound?
CaMgMo